The following is a PBE-GGA calculation of a relaxed structure of Ce2OF, from Alexandria.

It has space group R-3m (No. 166, hexagonal axes), with a = 3.5507 Å, b = 3.5507 Å, c = 17.6887 Å, α = 90.00°, β = 90.00° and γ = 120.00°. The inequivalent atoms are Ce at (0.0000, 0.0000, 0.2446), O at (0.0000, 0.0000, 0.5000) and F at (0.0000, 0.0000, 0.0000).

The density of states at the Fermi level comes out at 21.40 states/eV per cell. As for the polymorph energy (0 for the lowest one): 0 meV/atom. For the total energy, the calculation gives -86.87 eV per cell. For the energy relative to the elements, uncorrected, the calculation gives -2.565 eV per atom.

---

The following is a PBE-GGA calculation of a relaxed structure of YZnPt2, from Alexandria.

It has space group R3m (No. 160, hexagonal axes), with a = 4.3421 Å, b = 4.3421 Å, c = 14.3912 Å, α = 90.00°, β = 90.00° and γ = 120.00°. The inequivalent atoms are Y at (0.0000, 0.0000, 0.0000), Zn at (0.0000, 0.0000, 0.7986), Pt at (0.0000, 0.0000, 0.2133) and Pt at (0.0000, 0.0000, 0.4386).

As for the energy of formation: -74 kJ per mole of atoms. The density of states at the Fermi level comes out at 6.53 states/eV per cell. For the total energy, the calculation gives -68.69 eV per cell.

---

The following is a PBE-GGA calculation of a relaxed structure of LaGeSb, from Alexandria.

It has space group Cmcm (No. 63), with a = 4.467 Å, b = 17.597 Å, c = 4.176 Å, α = 90.00°, β = 90.00° and γ = 90.00°. The inequivalent atoms are La at (0.000, 0.101, 0.250), Ge at (0.000, 0.455, 0.250) and Sb at (0.000, 0.252, 0.750).

The density of states at the Fermi level comes out at 3.72 states/eV per cell. For the total energy, the calculation gives -64.62 eV per cell. For the energy relative to the elements, uncorrected, the calculation gives -0.829 eV per atom.